1.
The following is a PBE calculation of crystalline KScSn at its relaxed geometry, from Alexandria.

Cell and atoms, written as POSCAR:
```
KScSn
1.0
4.954 0.000 0.000
-2.477 4.290 0.000
0.000 0.000 10.582
K Sc Sn
2 2 2
Direct
0.000 0.000 0.000
0.333 0.667 0.311
0.333 0.667 0.714
0.667 0.333 0.551
0.000 0.000 0.541
0.667 0.333 0.818
```

* magnetic moment: 0.00 μB/atom
* space-group type: P3m1 (156)
* N(E_F): 0.00 states/eV per atom

2.
The following is a PBE calculation of crystalline KScSn at its relaxed geometry, from Alexandria.

Cell and atoms, written as POSCAR:
```
KScSn
1.0
5.877 0.000 0.000
0.000 4.184 0.000
-1.343 0.000 9.358
K Sc Sn
2 2 2
Direct
0.217 0.250 0.375
0.783 0.750 0.625
0.343 0.250 0.889
0.657 0.750 0.111
0.158 0.750 0.078
0.842 0.250 0.922
```

* magnetic moment: 0.00 μB/atom
* space-group type: P2_1/m (11)
* N(E_F): 1.05 states/eV per atom

no.,raw total energy (eV per atom),distance to the lowest polymorph of the same formula (meV per atom)
1,-4.039,137
2,-3.858,318